No. 1
Material: LiCdAg
Method: DFT, meta-GGA SCAN
State: PBEsol geometry

Values from the calculation:
Total magnetization = 0.00 μB per atom
Polymorph energy (0 for the lowest one) = 6 meV/atom
Symmetry = I4mm
Calculated formation energy = -0.207 eV per atom

abc: 3.2927 3.2927 5.1778
angles: 108.54 108.54 90.00
Last column: nearest neighbours and their distance in Å.
Fractional coordinates of all 3 atoms:
1 Li 0.6598 0.6598 0.3196  4 Ag 2.70, 4 Cd 2.81
2 Ag 0.0110 0.0110 0.0221  4 Li 2.70, 5 Cd 2.87-2.94
3 Cd 0.3291 0.3291 0.6583  5 Li 2.81-3.06, 5 Ag 2.87-2.94


No. 2
Material: MgTc2Pt
Method: DFT, meta-GGA SCAN
State: PBEsol geometry

Values from the calculation:
Total magnetization = 0.00 μB per atom
Symmetry = Pmm2
Calculated formation energy = -0.185 eV per atom

abc: 2.7422 3.8564 5.6095
angles: 90.00 90.00 90.00
Last column: nearest neighbours and their distance in Å.
Fractional coordinates of all 4 atoms:
1 Pt 0.5000 0.5000 0.7383  4 Mg 2.68, 6 Tc 2.71-2.90, 2 Pt 2.74
2 Tc 0.5000 0.5000 0.2221  6 Tc 2.61-2.74, 2 Pt 2.71-2.90, 4 Mg 2.88
3 Tc 0.0000 0.0000 0.0248  6 Tc 2.61-2.74, 2 Mg 2.75-2.86, 4 Pt 2.86
4 Mg 0.0000 0.0000 0.5148  4 Pt 2.68, 2 Mg 2.74, 6 Tc 2.75-2.88


No. 3
Material: Ni2HgWF
Method: DFT, meta-GGA SCAN
State: PBEsol geometry

Values from the calculation:
Total magnetization = 1.09 μB per atom
Uncorrected formation energy = 1.859 eV/atom
Symmetry = P4/mmm

abc: 4.6365 4.6365 5.1427
angles: 90.00 90.00 90.00
Last column: nearest neighbours and their distance in Å.
Fractional coordinates of all 5 atoms:
1 F 0.5000 0.5000 0.5000  4 W 3.28, 8 Ni 3.46
2 Ni 0.5000 0.0000 0.0000  2 Hg 2.32
3 W 0.0000 0.0000 0.5000  2 Hg 2.57
4 Hg 0.0000 0.0000 0.0000  4 Ni 2.32, 2 W 2.57
5 Ni 0.0000 0.5000 0.0000  2 Hg 2.32


No. 4
Material: PtBr3
Method: DFT, meta-GGA SCAN
State: PBEsol geometry

Values from the calculation:
Total magnetization = 0.00 μB per atom
Uncorrected formation energy = 0.083 eV/atom
Symmetry = Cmcm

abc: 3.4146 7.8142 7.8142
angles: 86.23 90.00 90.00
Last column: nearest neighbours and their distance in Å.
Fractional coordinates of all 8 atoms:
1 Br 0.2500 0.1704 0.8296  1 Pt 2.45
2 Br 0.7500 0.8287 0.5877  1 Pt 2.39
3 Br 0.7500 0.8296 0.1704  1 Pt 2.45
4 Br 0.7500 0.4123 0.1713  1 Pt 2.39
5 Pt 0.2500 0.3998 0.6002  3 Br 2.39-2.45
6 Br 0.2500 0.5877 0.8287  1 Pt 2.39
7 Br 0.2500 0.1713 0.4123  1 Pt 2.39
8 Pt 0.7500 0.6002 0.3998  3 Br 2.39-2.45


no.,energy (eV/f.u.)
1,-64.79
2,-146.03
3,-164.45
4,-128.24